(1)
A geometry-optimized Ac4GaCu structure. Source: Alexandria via LeMat-Bulk, functional PBE-GGA.

Cell: 5.365 5.365 7.645 Å, 90.00 90.00 90.00°
Sites, in units of the cell vectors:
Ac (0.000, 0.500, 0.000)
Ac (0.000, 0.500, 0.489)
Ac (0.500, 0.000, 0.000)
Ac (0.500, 0.000, 0.489)
Ga (0.000, 0.000, 0.745)
Cu (0.500, 0.500, 0.245)

Output
SG = P4mm
Volume = 220.0 Å³ per cell
Electronic total energy = -3.9618 eV/atom

(2)
A geometry-optimized AcGaCu4 structure. Source: Alexandria via LeMat-Bulk, functional PBE-GGA.

Cell: 6.874 4.165 7.832 Å, 90.00 90.00 90.00°
Sites, in units of the cell vectors:
Ac (0.250, 0.000, 0.138)
Ac (0.750, 0.000, 0.862)
Ga (0.250, 0.000, 0.729)
Ga (0.750, 0.000, 0.271)
Cu (0.000, 0.000, 0.500)
Cu (0.058, 0.500, 0.720)
Cu (0.250, 0.500, 0.447)
Cu (0.442, 0.500, 0.720)
Cu (0.500, 0.000, 0.500)
Cu (0.558, 0.500, 0.280)
Cu (0.750, 0.500, 0.553)
Cu (0.942, 0.500, 0.280)

Output
ΔE to the lowest computed polymorph = 0.26 eV per formula unit
SG = Pmma
Volume = 224.2 Å³ per cell

(3)
A geometry-optimized Ac3Ga4Cu2 structure. Source: Alexandria via LeMat-Bulk, functional PBE-GGA.

Cell: 6.372 6.372 8.888 Å, 97.99 97.99 39.87°
Sites, in units of the cell vectors:
Ac (0.000, 0.000, 0.000)
Ac (0.331, 0.331, 0.335)
Ac (0.669, 0.669, 0.665)
Ga (0.053, 0.053, 0.384)
Ga (0.279, 0.279, 0.940)
Ga (0.721, 0.721, 0.060)
Ga (0.947, 0.947, 0.616)
Cu (0.391, 0.391, 0.723)
Cu (0.609, 0.609, 0.277)

Output
ΔE to the lowest computed polymorph = 0.00 eV per formula unit
SG = C2/m
Volume = 228.8 Å³ per cell

(4)
A geometry-optimized Ac3Ga2Cu structure. Source: Alexandria via LeMat-Bulk, functional PBE-GGA.

Cell: 3.840 3.840 11.935 Å, 90.00 90.00 90.00°
Sites, in units of the cell vectors:
Ac (0.000, 0.000, 0.000)
Ac (0.000, 0.000, 0.340)
Ac (0.000, 0.000, 0.660)
Ga (0.500, 0.500, 0.174)
Ga (0.500, 0.500, 0.826)
Cu (0.500, 0.500, 0.500)

Output
ΔE to the lowest computed polymorph = 0.34 eV per formula unit
SG = P4/mmm
Volume = 176.0 Å³ per cell

(5)
A geometry-optimized AcGa5Cu3 structure. Source: Alexandria via LeMat-Bulk, functional PBE-GGA.

Cell: 6.613 6.613 12.775 Å, 90.00 90.00 144.09°
Sites, in units of the cell vectors:
Ac (0.166, 0.834, 0.750)
Ac (0.834, 0.166, 0.250)
Ga (0.000, 0.000, 0.000)
Ga (0.000, 0.000, 0.500)
Ga (0.198, 0.802, 0.071)
Ga (0.198, 0.802, 0.429)
Ga (0.452, 0.548, 0.652)
Ga (0.452, 0.548, 0.848)
Ga (0.548, 0.452, 0.152)
Ga (0.548, 0.452, 0.348)
Ga (0.802, 0.198, 0.571)
Ga (0.802, 0.198, 0.929)
Cu (0.120, 0.880, 0.250)
Cu (0.388, 0.612, 0.039)
Cu (0.388, 0.612, 0.461)
Cu (0.612, 0.388, 0.539)
Cu (0.612, 0.388, 0.961)
Cu (0.880, 0.120, 0.750)

Output
SG = Cmcm
Volume = 327.6 Å³ per cell
Electronic total energy = -3.7761 eV/atom

(6)
A geometry-optimized Ac12Ga6Cu structure. Source: Alexandria via LeMat-Bulk, functional PBE-GGA.

Cell: 9.230 9.230 9.230 Å, 100.49 100.49 100.49°
Sites, in units of the cell vectors:
Ac (0.050, 0.930, 0.681)
Ac (0.070, 0.319, 0.950)
Ac (0.181, 0.564, 0.424)
Ac (0.319, 0.950, 0.070)
Ac (0.424, 0.181, 0.564)
Ac (0.436, 0.576, 0.819)
Ac (0.564, 0.424, 0.181)
Ac (0.576, 0.819, 0.436)
Ac (0.681, 0.050, 0.930)
Ac (0.819, 0.436, 0.576)
Ac (0.930, 0.681, 0.050)
Ac (0.950, 0.070, 0.319)
Ga (0.135, 0.304, 0.621)
Ga (0.304, 0.621, 0.135)
Ga (0.379, 0.865, 0.696)
Ga (0.621, 0.135, 0.304)
Ga (0.696, 0.379, 0.865)
Ga (0.865, 0.696, 0.379)
Cu (0.000, 0.000, 0.000)

Output
SG = R-3
Volume = 741.1 Å³ per cell
Electronic total energy = -3.9041 eV/atom

(7)
A geometry-optimized Ac2Ga5Cu3 structure. Source: Alexandria via LeMat-Bulk, functional PBE-GGA.

Cell: 8.691 8.691 6.234 Å, 110.94 110.94 73.96°
Sites, in units of the cell vectors:
Ac (0.122, 0.624, 0.873)
Ac (0.376, 0.878, 0.627)
Ac (0.624, 0.122, 0.373)
Ac (0.878, 0.376, 0.127)
Ga (0.015, 0.749, 0.382)
Ga (0.251, 0.985, 0.118)
Ga (0.252, 0.253, 0.503)
Ga (0.253, 0.252, 0.003)
Ga (0.500, 0.500, 0.250)
Ga (0.500, 0.500, 0.750)
Ga (0.747, 0.748, 0.997)
Ga (0.748, 0.747, 0.497)
Ga (0.749, 0.015, 0.882)
Ga (0.985, 0.251, 0.618)
Cu (0.000, 0.000, 0.250)
Cu (0.000, 0.000, 0.750)
Cu (0.251, 0.500, 0.375)
Cu (0.500, 0.251, 0.875)
Cu (0.500, 0.749, 0.125)
Cu (0.749, 0.500, 0.625)

Output
SG = C2/c
Volume = 404.8 Å³ per cell
Electronic total energy = -4.0210 eV/atom

(8)
A geometry-optimized AcGaCu structure. Source: Alexandria via LeMat-Bulk, functional PBE-GGA.

Cell: 4.806 4.806 4.806 Å, 60.00 60.00 60.00°
Sites, in units of the cell vectors:
Ac (0.000, 0.000, 0.000)
Ga (0.500, 0.500, 0.500)
Cu (0.250, 0.250, 0.250)

Output
ΔE to the lowest computed polymorph = 0.49 eV per formula unit
SG = F-43m
Volume = 78.5 Å³ per cell

(9)
A geometry-optimized Ac6Ga2Cu structure. Source: Alexandria via LeMat-Bulk, functional PBE-GGA.

Cell: 7.076 8.759 12.355 Å, 90.00 122.62 90.00°
Sites, in units of the cell vectors:
Ac (0.081, 0.173, 0.440)
Ac (0.081, 0.327, 0.940)
Ac (0.301, 0.681, 0.433)
Ac (0.301, 0.819, 0.933)
Ac (0.407, 0.043, 0.266)
Ac (0.407, 0.457, 0.766)
Ac (0.593, 0.543, 0.234)
Ac (0.593, 0.957, 0.734)
Ac (0.699, 0.181, 0.067)
Ac (0.699, 0.319, 0.567)
Ac (0.919, 0.673, 0.060)
Ac (0.919, 0.827, 0.560)
Ga (0.182, 0.123, 0.750)
Ga (0.182, 0.377, 0.250)
Ga (0.818, 0.623, 0.750)
Ga (0.818, 0.877, 0.250)
Cu (0.000, 0.000, 0.000)
Cu (0.000, 0.500, 0.500)

Output
SG = P2_1/c
Volume = 644.9 Å³ per cell
Electronic total energy = -4.0533 eV/atom

(10)
A geometry-optimized Ac3Ga8Cu3 structure. Source: Alexandria via LeMat-Bulk, functional PBE-GGA.

Cell: 8.566 8.566 9.715 Å, 124.26 124.26 30.85°
Sites, in units of the cell vectors:
Ac (0.000, 0.000, 0.000)
Ac (0.304, 0.304, 0.308)
Ac (0.696, 0.696, 0.692)
Ga (0.145, 0.145, 0.865)
Ga (0.150, 0.150, 0.422)
Ga (0.344, 0.344, 0.968)
Ga (0.496, 0.496, 0.701)
Ga (0.504, 0.504, 0.299)
Ga (0.656, 0.656, 0.032)
Ga (0.850, 0.850, 0.578)
Ga (0.855, 0.855, 0.135)
Cu (0.000, 0.000, 0.500)
Cu (0.343, 0.343, 0.702)
Cu (0.657, 0.657, 0.298)

Output
ΔE to the lowest computed polymorph = 0.20 eV per formula unit
SG = C2/m
Volume = 296.8 Å³ per cell

(11)
A geometry-optimized AcGaCu4 structure. Source: Alexandria via LeMat-Bulk, functional PBE-GGA.

Cell: 5.266 5.266 5.266 Å, 60.00 60.00 60.00°
Sites, in units of the cell vectors:
Ac (0.000, 0.000, 0.000)
Ga (0.750, 0.750, 0.750)
Cu (0.377, 0.377, 0.377)
Cu (0.377, 0.377, 0.868)
Cu (0.377, 0.868, 0.377)
Cu (0.868, 0.377, 0.377)

Output
ΔE to the lowest computed polymorph = 0.00 eV per formula unit
SG = F-43m
Volume = 103.3 Å³ per cell

(12)
A geometry-optimized AcGa2Cu structure. Source: Alexandria via LeMat-Bulk, functional PBE-GGA.

Cell: 6.251 6.251 6.251 Å, 39.94 39.94 39.94°
Sites, in units of the cell vectors:
Ac (0.000, 0.000, 0.000)
Ga (0.208, 0.208, 0.208)
Ga (0.792, 0.792, 0.792)
Cu (0.500, 0.500, 0.500)

Output
ΔE to the lowest computed polymorph = 0.00 eV per formula unit
SG = R-3m
Volume = 90.7 Å³ per cell